1.
YTm2Ag2: optimized geometry, PBE.

Unit cell a=3.5911 b=5.2157 c=13.4459 alpha=90.00 beta=97.68 gamma=90.00
With the nearest neighbours (Å) after each atom.
Positions (direct):
Y (0.1458, 0.2500, 0.2910)  6 Ag 3.17-3.20, 2 Tm 3.52
Y (0.8542, 0.7500, 0.7090)  6 Ag 3.17-3.20, 2 Tm 3.52
Tm (0.0473, 0.7500, 0.0949)  8 Ag 3.07-3.17
Tm (0.2342, 0.7500, 0.4680)  2 Ag 3.04, 4 Tm 3.28
Tm (0.7658, 0.2500, 0.5320)  2 Ag 3.04, 4 Tm 3.28
Tm (0.9527, 0.2500, 0.9051)  8 Ag 3.07-3.17
Ag (0.3578, 0.2500, 0.7161)  4 Tm 3.04-3.09, 4 Y 3.17
Ag (0.4541, 0.7500, 0.9081)  6 Tm 3.07-3.17, 2 Y 3.20
Ag (0.5459, 0.2500, 0.0919)  6 Tm 3.07-3.17, 2 Y 3.20
Ag (0.6422, 0.7500, 0.2839)  4 Tm 3.04-3.09, 4 Y 3.17

Energy above the lowest structure with this stoichiometry: 0 meV/atom
Energy: -4.48 eV per atom



2.
YTmAg4: optimized geometry, PBE.

Unit cell a=5.6902 b=5.6902 c=5.6902 alpha=60.00 beta=60.00 gamma=60.00
With the nearest neighbours (Å) after each atom.
Positions (direct):
Y (0.0000, 0.0000, 0.0000)  12 Ag 3.34, 4 Tm 3.48
Tm (0.7500, 0.7500, 0.7500)  12 Ag 3.34, 4 Y 3.48
Ag (0.3751, 0.3751, 0.3751)  6 Ag 2.84-2.85
Ag (0.3751, 0.3751, 0.8747)  6 Ag 2.84-2.85
Ag (0.3751, 0.8747, 0.3751)  6 Ag 2.84-2.85
Ag (0.8747, 0.3751, 0.3751)  6 Ag 2.84-2.85

Energy above the lowest structure with this stoichiometry: 148 meV/atom
Energy: -3.90 eV per atom



3.
YTm2Ag3: optimized geometry, PBE.

Unit cell a=3.5865 b=3.5865 c=10.9291 alpha=90.00 beta=90.00 gamma=90.00
With the nearest neighbours (Å) after each atom.
Positions (direct):
Y (0.0000, 0.0000, 0.0000)  8 Ag 3.16
Tm (0.0000, 0.0000, 0.3353)  8 Ag 3.10-3.11
Tm (0.0000, 0.0000, 0.6647)  8 Ag 3.10-3.11
Ag (0.5000, 0.5000, 0.1727)  4 Tm 3.10, 4 Y 3.16
Ag (0.5000, 0.5000, 0.5000)  8 Tm 3.11
Ag (0.5000, 0.5000, 0.8273)  4 Tm 3.10, 4 Y 3.16

Energy: -4.33 eV per atom



4.
Y2Tm3Ag2: optimized geometry, PBE.

Unit cell a=5.8431 b=5.8431 c=8.0484 alpha=111.64 beta=111.64 gamma=49.91
With the nearest neighbours (Å) after each atom.
Positions (direct):
Y (0.1238, 0.1238, 0.2671)  4 Ag 3.18-3.29, 2 Tm 3.56
Y (0.8762, 0.8762, 0.7329)  4 Ag 3.18-3.29, 2 Tm 3.56
Tm (0.3634, 0.3634, 0.0441)  1 Ag 2.87
Tm (0.5000, 0.5000, 0.5000)  4 Ag 2.99
Tm (0.6366, 0.6366, 0.9559)  1 Ag 2.87
Ag (0.1570, 0.1570, 0.6780)  3 Tm 2.87-2.99, 2 Y 3.18
Ag (0.8430, 0.8430, 0.3220)  3 Tm 2.87-2.99, 2 Y 3.18

Energy: -4.68 eV per atom



5.
YTm3Ag2: optimized geometry, PBE.

Unit cell a=3.5772 b=3.5772 c=12.1565 alpha=90.00 beta=90.00 gamma=90.00
With the nearest neighbours (Å) after each atom.
Positions (direct):
Y (0.0000, 0.0000, 0.0000)  8 Tm 3.54, 4 Y 3.58
Tm (0.5000, 0.5000, 0.2036)  4 Ag 3.10
Tm (0.5000, 0.5000, 0.5000)  8 Ag 3.11
Tm (0.5000, 0.5000, 0.7964)  4 Ag 3.10
Ag (0.0000, 0.0000, 0.3516)  8 Tm 3.10-3.11
Ag (0.0000, 0.0000, 0.6484)  8 Tm 3.10-3.11

Energy above the lowest structure with this stoichiometry: 0 meV/atom
Energy: -4.47 eV per atom



6.
Y2Tm2Ag: optimized geometry, PBE.

Unit cell a=12.6495 b=12.6495 c=12.6495 alpha=157.20 beta=157.20 gamma=32.46
With the nearest neighbours (Å) after each atom.
Positions (direct):
Y (0.0510, 0.3010, 0.7500)  2 Ag 3.08
Y (0.3010, 0.0510, 0.2500)  2 Ag 3.08
Y (0.6990, 0.9490, 0.7500)  2 Ag 3.08
Y (0.9490, 0.6990, 0.2500)  2 Ag 3.08
Tm (0.1991, 0.4491, 0.7500)  2 Ag 3.08
Tm (0.4491, 0.1991, 0.2500)  2 Ag 3.08
Tm (0.5509, 0.8009, 0.7500)  2 Ag 3.08
Tm (0.8009, 0.5509, 0.2500)  2 Ag 3.08
Ag (0.1250, 0.8750, 0.2500)  4 Y 3.08, 4 Tm 3.08
Ag (0.8750, 0.1250, 0.7500)  4 Y 3.08, 4 Tm 3.08

Energy: -4.91 eV per atom



7.
Y3TmAg2: optimized geometry, PBE.

Unit cell a=5.0902 b=9.1216 c=6.9372 alpha=90.00 beta=90.00 gamma=90.00
With the nearest neighbours (Å) after each atom.
Positions (direct):
Y (0.0000, 0.0628, 0.0000)  3 Ag 3.02-3.17
Y (0.0000, 0.3317, 0.3606)  4 Ag 2.94-3.13
Y (0.0000, 0.6683, 0.8606)  4 Ag 2.94-3.13
Y (0.0000, 0.9372, 0.5000)  3 Ag 3.02-3.17
Y (0.5000, 0.1732, 0.6686)  4 Ag 2.94-3.12
Y (0.5000, 0.8268, 0.1686)  4 Ag 2.94-3.12
Tm (0.5000, 0.4366, 0.0312)  3 Ag 3.00-3.17
Tm (0.5000, 0.5634, 0.5312)  3 Ag 3.00-3.17
Ag (0.0000, 0.3500, 0.7839)  5 Y 2.94-3.12, 2 Tm 3.17
Ag (0.0000, 0.6500, 0.2839)  5 Y 2.94-3.12, 2 Tm 3.17
Ag (0.5000, 0.1513, 0.2465)  6 Y 2.94-3.17, 1 Tm 3.00
Ag (0.5000, 0.8487, 0.7465)  6 Y 2.94-3.17, 1 Tm 3.00

Energy above the lowest structure with this stoichiometry: 0 meV/atom
Energy: -5.14 eV per atom



8.
Tm2ZnAg3: optimized geometry, PBE.

Unit cell a=3.3473 b=4.6518 c=8.1172 alpha=90.00 beta=90.00 gamma=90.00
With the nearest neighbours (Å) after each atom.
Positions (direct):
Tm (0.0000, 0.0000, 0.0000)  8 Ag 3.11-3.21, 4 Zn 3.18, 2 Tm 3.35
Tm (0.0000, 0.5000, 0.4983)  10 Ag 3.15-3.26, 2 Zn 3.17, 2 Tm 3.35
Zn (0.5000, 0.5000, 0.8295)  3 Ag 2.64
Ag (0.5000, 0.0000, 0.3371)  3 Ag 2.76
Ag (0.5000, 0.0000, 0.6768)  2 Zn 2.64, 1 Ag 2.76
Ag (0.5000, 0.5000, 0.1542)  1 Zn 2.64, 2 Ag 2.76

Energy: -3.41 eV per atom



| no. | formation energy (eV/atom) | total moment (μB/f.u.) | ρ (Mg/m³) |
| --- | --- | --- | --- |
| 1 | -0.25 | 0.000 | 8.55 |
| 2 | -0.18 | 0.000 | 8.79 |
| 3 | -0.34 | 0.000 | 8.86 |
| 4 | -0.10 | 0.000 | 7.78 |
| 5 | -0.21 | 0.000 | 8.66 |
| 6 | 0.03 | 1.889 | 6.82 |
| 7 | -0.21 | 0.000 | 6.72 |
| 8 | -0.28 | 0.000 | 9.55 |